(1)
DFT (PBE) results for a relaxed structure of Mg3InC.

The structure belongs to space group Pm-3m (No. 221); the cell edges are 5.340, 5.340 and 5.340 Å and the angles 90.00°, 90.00° and 90.00°. The distinct sites, in fractional coordinates, are Mg at (0.000, 0.000, 0.500), In at (0.000, 0.000, 0.000) and C at (0.500, 0.500, 0.500).

For the formation energy, the calculation gives 1.495 eV/atom. The calculation puts the relative energy among the computed polymorphs at 1.343 eV/atom. Its total DFT energy (no corrections) is -1.85 eV per atom.

(2)
DFT (PBE) results for a relaxed structure of NiAg2Ir.

The structure belongs to space group R-3m (No. 166, hexagonal axes); the cell edges are 2.7490, 2.7490 and 27.9454 Å and the angles 90.00°, 90.00° and 120.00°. The distinct sites, in fractional coordinates, are Ni at (0.0000, 0.0000, 0.0000), Ag at (0.0000, 0.0000, 0.2544) and Ir at (0.0000, 0.0000, 0.5000).

For the formation energy, the calculation gives 0.328 eV/atom. The calculation puts the relative energy among the computed polymorphs at 0.125 eV/atom. Its total DFT energy (no corrections) is -4.76 eV per atom.

(3)
DFT (PBE) results for a relaxed structure of CoP2W.

The structure belongs to space group P4mm (No. 99); the cell edges are 2.760, 2.760 and 7.791 Å and the angles 90.00°, 90.00° and 90.00°. The distinct sites, in fractional coordinates, are Co at (0.000, 0.000, 0.000), P at (0.000, 0.000, 0.537), P at (0.500, 0.500, 0.161) and W at (0.500, 0.500, 0.764).

For the formation energy, the calculation gives 0.077 eV/atom. Its total DFT energy (no corrections) is -7.64 eV per atom.

(4)
DFT (PBE) results for a relaxed structure of TiCdB2I.

The structure belongs to space group P4/mmm (No. 123); the cell edges are 4.540, 4.540 and 5.151 Å and the angles 90.00°, 90.00° and 90.00°. The distinct sites, in fractional coordinates, are Ti at (0.000, 0.000, 0.000), Cd at (0.500, 0.500, 0.000), B at (0.000, 0.500, 0.500) and I at (0.000, 0.000, 0.500).

Its total DFT energy (no corrections) is -2.73 eV per atom. The formation energy from raw total energies is 2.016 eV per atom.

(5)
DFT (PBE) results for a relaxed structure of KUSeS2.

The structure belongs to space group P2_1/m (No. 11); the cell edges are 8.447, 4.048 and 9.029 Å and the angles 90.00°, 98.42° and 90.00°. The distinct sites, in fractional coordinates, are K at (0.157, 0.250, 0.282), U at (0.329, 0.750, 0.857), Se at (0.244, 0.750, 0.573), S at (0.141, 0.250, 0.897) and S at (0.454, 0.750, 0.152).

Its total DFT energy (no corrections) is -6.05 eV per atom. The formation energy from raw total energies is -1.223 eV per atom.

(6)
DFT (PBE) results for a relaxed structure of TaCoGe.

The structure belongs to space group I4mm (No. 107); the cell edges are 2.710, 2.710 and 14.062 Å and the angles 90.00°, 90.00° and 90.00°. The distinct sites, in fractional coordinates, are Ta at (0.000, 0.000, 0.000), Co at (0.000, 0.000, 0.830) and Ge at (0.000, 0.000, 0.654).

For the formation energy, the calculation gives 0.578 eV/atom. Its total DFT energy (no corrections) is -7.28 eV per atom.

(7)
DFT (PBE) results for a relaxed structure of Mg2InCl.

The structure belongs to space group I-42d (No. 122); the cell edges are 7.819, 7.819 and 6.574 Å and the angles 90.00°, 90.00° and 90.00°. The distinct sites, in fractional coordinates, are Mg at (0.218, 0.250, 0.125), In at (0.000, 0.000, 0.500) and Cl at (0.000, 0.000, 0.000).

The calculation puts the relative energy among the computed polymorphs at 0.221 eV/atom. Its total DFT energy (no corrections) is -2.28 eV per atom. The formation energy from raw total energies is -0.337 eV per atom.

(8)
DFT (PBE) results for a relaxed structure of AgAu4S2.

The structure belongs to space group P4_2/mnm (No. 136); the cell edges are 9.482, 9.482 and 3.899 Å and the angles 90.00°, 90.00° and 90.00°. The distinct sites, in fractional coordinates, are Ag at (0.000, 0.000, 0.000), Au at (0.055, 0.358, 0.500) and S at (0.119, 0.119, 0.500).

Its total DFT energy (no corrections) is -3.37 eV per atom. The formation energy from raw total energies is 0.093 eV per atom.

(9)
DFT (PBE) results for a relaxed structure of NdPu2Pt2.

The structure belongs to space group Cmc2_1 (No. 36); the cell edges are 4.110, 13.608 and 9.106 Å and the angles 90.00°, 90.00° and 90.00°. The distinct sites, in fractional coordinates, are Nd at (0.000, 0.096, 0.000), Pu at (0.000, 0.186, 0.618), Pu at (0.000, 0.388, 0.857), Pt at (0.000, 0.263, 0.323) and Pt at (0.000, 0.460, 0.159).

For the formation energy, the calculation gives -0.633 eV/atom. Its total DFT energy (no corrections) is -9.74 eV per atom.

(10)
DFT (PBE) results for a relaxed structure of CeYCuS4.

The structure belongs to space group Imma (No. 74); the cell edges are 7.704, 7.907 and 10.979 Å and the angles 90.00°, 90.00° and 90.00°. The distinct sites, in fractional coordinates, are Ce at (0.000, 0.000, 0.000), Y at (0.250, 0.250, 0.250), Cu at (0.000, 0.250, 0.627), S at (0.000, 0.002, 0.249) and S at (0.249, 0.250, 0.999).

Its total DFT energy (no corrections) is -6.21 eV per atom. The formation energy from raw total energies is -1.492 eV per atom.